(1)
SrCd2Hg5 | GGA-PBE | optimized geometry

Cell: 8.129 8.129 8.748 Å, 117.69 117.69 90.00°
Element x y z (fractional)
1 Sr 0.750 0.750 0.500
2 Sr 0.250 0.250 0.500
3 Cd 0.156 0.344 0.000
4 Cd 0.656 0.156 0.000
5 Cd 0.344 0.844 0.000
6 Cd 0.844 0.656 0.000
7 Hg 0.486 0.703 0.689
8 Hg 0.797 0.014 0.311
9 Hg 0.000 0.000 0.000
10 Hg 0.500 0.500 0.000
11 Hg 0.203 0.986 0.689
12 Hg 0.703 0.203 0.689
13 Hg 0.986 0.486 0.689
14 Hg 0.297 0.797 0.311
15 Hg 0.014 0.514 0.311
16 Hg 0.514 0.297 0.311

Calculated values
Energy relative to the elements (meV/atom): -163.6
Crystal system: tetragonal



(2)
Sr2Cd3Hg | GGA-PBE | optimized geometry

Cell: 6.493 6.493 10.149 Å, 113.15 113.15 76.76°
Element x y z (fractional)
1 Sr 0.750 0.250 0.500
2 Sr 0.747 0.253 0.000
3 Sr 0.250 0.750 0.500
4 Sr 0.253 0.747 0.000
5 Cd 0.834 0.834 0.166
6 Cd 0.668 0.668 0.834
7 Cd 0.166 0.166 0.834
8 Cd 0.332 0.332 0.166
9 Cd 0.166 0.166 0.332
10 Cd 0.834 0.834 0.668
11 Hg 0.666 0.666 0.333
12 Hg 0.334 0.334 0.667

Calculated values
Energy relative to the elements (meV/atom): -380.3
Crystal system: orthorhombic



(3)
SrCd9Hg2 | GGA-PBE | optimized geometry

Cell: 7.874 9.451 9.451 Å, 80.01 65.38 65.38°
Element x y z (fractional)
1 Sr 0.500 0.000 0.000
2 Sr 0.250 0.500 0.500
3 Cd 0.750 0.500 0.500
4 Cd 0.000 0.000 0.000
5 Cd 0.999 0.918 0.677
6 Cd 0.593 0.082 0.323
7 Cd 0.667 0.177 0.582
8 Cd 0.426 0.823 0.418
9 Cd 0.751 0.823 0.582
10 Cd 0.157 0.177 0.418
11 Cd 0.083 0.918 0.323
12 Cd 0.324 0.082 0.677
13 Cd 0.751 0.582 0.823
14 Cd 0.157 0.418 0.177
15 Cd 0.083 0.323 0.918
16 Cd 0.324 0.677 0.082
17 Cd 0.999 0.677 0.918
18 Cd 0.593 0.323 0.082
19 Cd 0.667 0.582 0.177
20 Cd 0.426 0.418 0.823
21 Hg 0.875 0.250 0.750
22 Hg 0.875 0.750 0.250
23 Hg 0.875 0.250 0.250
24 Hg 0.375 0.750 0.750

Calculated values
Energy relative to the elements (meV/atom): -125.1
Crystal system: tetragonal
Energy relative to the lowest polymorph listed for this composition (eV per atom): 0.000



(4)
SrCd2Hg | GGA-PBE | optimized geometry

Cell: 3.905 3.903 7.338 Å, 90.00 90.00 90.00°
Element x y z (fractional)
1 Sr 0.500 0.500 0.742
2 Hg 0.000 0.000 0.471
3 Cd 0.000 0.000 0.041
4 Cd 0.500 0.500 0.246

Calculated values
Energy relative to the elements (meV/atom): -252.4
Crystal system: tetragonal



(5)
SrCd3Hg3 | GGA-PBE | optimized geometry

Cell: 4.884 7.798 12.185 Å, 127.59 90.00 90.00°
Element x y z (fractional)
1 Sr 0.750 0.279 0.671
2 Sr 0.250 0.721 0.329
3 Cd 0.750 0.799 0.993
4 Cd 0.750 0.293 0.211
5 Cd 0.750 0.955 0.818
6 Cd 0.250 0.201 0.007
7 Cd 0.250 0.707 0.789
8 Cd 0.250 0.045 0.182
9 Hg 0.750 0.010 0.326
10 Hg 0.750 0.496 0.073
11 Hg 0.750 0.653 0.507
12 Hg 0.250 0.990 0.674
13 Hg 0.250 0.504 0.927
14 Hg 0.250 0.347 0.493

Calculated values
Energy relative to the elements (meV/atom): -224.6
Crystal system: monoclinic
Energy relative to the lowest polymorph listed for this composition (eV per atom): 0.000



(6)
Sr6Cd3Hg | GGA-PBE | optimized geometry

Cell: 5.882 10.096 13.103 Å, 109.21 90.00 90.00°
Element x y z (fractional)
1 Sr 0.250 0.492 0.095
2 Sr 0.750 0.508 0.905
3 Sr 0.250 0.132 0.157
4 Sr 0.750 0.868 0.843
5 Sr 0.250 0.651 0.668
6 Sr 0.750 0.349 0.332
7 Sr 0.250 0.244 0.501
8 Sr 0.750 0.756 0.499
9 Sr 0.250 0.846 0.331
10 Sr 0.750 0.154 0.669
11 Sr 0.250 0.119 0.866
12 Sr 0.750 0.881 0.134
13 Cd 0.250 0.529 0.375
14 Cd 0.750 0.471 0.625
15 Cd 0.250 0.392 0.778
16 Cd 0.750 0.608 0.222
17 Cd 0.250 0.773 0.968
18 Cd 0.750 0.227 0.032
19 Hg 0.250 0.951 0.604
20 Hg 0.750 0.049 0.396

Calculated values
Energy relative to the elements (meV/atom): -272.7
Crystal system: monoclinic



(7)
Sr2Cd2Hg3 | GGA-PBE | optimized geometry

Cell: 8.309 8.309 8.309 Å, 109.47 109.47 109.47°
Element x y z (fractional)
1 Sr 0.000 0.000 0.506
2 Sr 0.500 0.506 0.500
3 Sr 0.494 0.994 0.994
4 Sr 0.006 0.500 0.000
5 Cd 0.000 0.000 0.893
6 Cd 0.500 0.893 0.500
7 Cd 0.107 0.607 0.607
8 Cd 0.393 0.500 0.000
9 Hg 0.751 0.750 0.001
10 Hg 0.749 0.250 0.499
11 Hg 0.999 0.249 0.250
12 Hg 0.501 0.251 0.750
13 Hg 0.250 0.001 0.251
14 Hg 0.750 0.499 0.249

Calculated values
Energy relative to the elements (meV/atom): -249.0
Crystal system: cubic
Energy relative to the lowest polymorph listed for this composition (eV per atom): 0.133



(8)
SrCdHg4 | GGA-PBE | optimized geometry

Cell: 5.499 7.957 8.843 Å, 116.74 103.18 90.00°
Element x y z (fractional)
1 Sr 0.144 0.208 0.417
2 Sr 0.856 0.792 0.583
3 Cd 0.763 0.550 0.099
4 Cd 0.237 0.450 0.901
5 Hg 0.732 0.333 0.666
6 Hg 0.578 0.318 0.250
7 Hg 0.000 0.184 0.000
8 Hg 0.422 0.068 0.750
9 Hg 0.268 0.667 0.334
10 Hg 0.422 0.682 0.750
11 Hg 0.000 0.816 0.000
12 Hg 0.578 0.932 0.250

Calculated values
Energy relative to the elements (meV/atom): -243.1
Crystal system: monoclinic
Energy relative to the lowest polymorph listed for this composition (eV per atom): 0.000



energy relative to the elements of number 6 (Sr6Cd3Hg)? -272.7 meV/atom